PBE-GGA CaAlSiSe2, optimized geometry; formation energy from raw total energies = 62.3 kJ per mole of atoms; SG = P4/mmm, No. 123; DOS(E_F) = 1.044 states/eV per atom
1.0
5.368 0.000 0.000
0.000 5.368 0.000
0.000 0.000 5.515
Ca Al Si Se
1 1 1 2
direct
0.000 0.000 0.000
0.000 0.000 0.500
0.500 0.500 0.500
0.000 0.500 0.000
0.500 0.000 0.000